(1)
Below is a relaxed structure of CuAgPd3, with properties calculated at the PBE level.

Cell: 4.831 6.375 6.375 Å, 120.01 90.00 90.00°
Atoms (fractional coordinates):
Cu: 0.000 0.000 0.000
Cu: 0.500 0.000 0.000
Ag: 0.750 0.667 0.333
Ag: 0.250 0.333 0.667
Pd: 0.750 0.613 0.807
Pd: 0.250 0.807 0.613
Pd: 0.250 0.387 0.193
Pd: 0.750 0.193 0.387
Pd: 0.250 0.807 0.193
Pd: 0.750 0.193 0.807

Calculated values
Magnetic moment (Bohr magnetons per cell): 0.00
Excess energy over the best structure of this formula in the dataset (meV/atom): 336.4
Space-group type: P6_3/mmc, No. 194

***

(2)
Below is a relaxed structure of ZnTe3W, with properties calculated at the PBE level.

Cell: 5.177 5.177 5.177 Å, 90.00 90.00 90.00°
Atoms (fractional coordinates):
Zn: 0.000 0.000 0.000
Te: 0.000 0.500 0.000
Te: 0.000 0.000 0.500
Te: 0.500 0.000 0.000
W: 0.500 0.500 0.500

Calculated values
Magnetic moment (Bohr magnetons per cell): 2.79
Excess energy over the best structure of this formula in the dataset (meV/atom): 739.7
Space-group type: Pm-3m, No. 221
Uncorrected formation energy (eV per atom): 1.340

***

(3)
Below is a relaxed structure of Tb6B2CCl3, with properties calculated at the PBE level.

Cell: 3.798 8.070 8.936 Å, 107.79 102.27 90.00°
Atoms (fractional coordinates):
Tb: 0.348 0.892 0.696
Tb: 0.678 0.554 0.356
Tb: 0.652 0.108 0.304
Tb: 0.011 0.214 0.023
Tb: 0.989 0.786 0.977
Tb: 0.322 0.446 0.644
B: 0.836 0.671 0.671
B: 0.164 0.329 0.329
C: 0.500 0.000 0.000
Cl: 0.500 0.500 0.000
Cl: 0.834 0.167 0.668
Cl: 0.166 0.833 0.332

Calculated values
Magnetic moment (Bohr magnetons per cell): 0.00
Space-group type: C2/m, No. 12
Uncorrected formation energy (eV per atom): -0.974

***

(4)
Below is a relaxed structure of MnAsRh3, with properties calculated at the PBE level.

Cell: 4.445 4.445 4.445 Å, 90.00 90.00 90.00°
Atoms (fractional coordinates):
As: 0.500 0.500 0.500
Mn: 0.000 0.000 0.000
Rh: 0.000 0.500 0.000
Rh: 0.000 0.000 0.500
Rh: 0.500 0.000 0.000

Calculated values
Magnetic moment (Bohr magnetons per cell): 0.00
Excess energy over the best structure of this formula in the dataset (meV/atom): 565.4
Space-group type: Pm-3m, No. 221

***

(5)
Below is a relaxed structure of BaNaBi2, with properties calculated at the PBE level.

Cell: 5.044 5.252 5.252 Å, 90.00 90.00 90.00°
Atoms (fractional coordinates):
Na: 0.500 0.500 0.500
Bi: 0.000 0.000 0.500
Bi: 0.000 0.500 0.000
Ba: 0.500 0.000 0.000

Calculated values
Magnetic moment (Bohr magnetons per cell): 0.00
Excess energy over the best structure of this formula in the dataset (meV/atom): 0.0
Space-group type: P4/mmm, No. 123

***

(6)
Below is a relaxed structure of La2ErSn, with properties calculated at the PBE level.

Cell: 5.073 4.892 4.892 Å, 90.00 90.00 90.00°
Atoms (fractional coordinates):
La: 0.000 0.000 0.500
La: 0.000 0.500 0.000
Sn: 0.500 0.500 0.500
Er: 0.500 0.000 0.000

Calculated values
Magnetic moment (Bohr magnetons per cell): 0.00
Excess energy over the best structure of this formula in the dataset (meV/atom): 0.0
Space-group type: P4/mmm, No. 123

***

(7)
Below is a relaxed structure of TmMgZrIn, with properties calculated at the PBE level.

Cell: 5.106 5.106 5.106 Å, 60.00 60.00 60.00°
Atoms (fractional coordinates):
Mg: 0.000 0.000 0.000
Tm: 0.250 0.250 0.250
Zr: 0.750 0.750 0.750
In: 0.500 0.500 0.500

Calculated values
Magnetic moment (Bohr magnetons per cell): 0.00
Space-group type: F-43m, No. 216
Energy (eV/atom): -4.50

***

(8)
Below is a relaxed structure of Pr2HoGe2, with properties calculated at the PBE level.

Cell: 4.461 7.730 7.730 Å, 90.00 90.00 90.00°
Atoms (fractional coordinates):
Pr: 0.500 0.175 0.675
Pr: 0.500 0.675 0.825
Pr: 0.500 0.825 0.325
Pr: 0.500 0.325 0.175
Ho: 0.000 0.000 0.000
Ho: 0.000 0.500 0.500
Ge: 0.000 0.378 0.878
Ge: 0.000 0.878 0.622
Ge: 0.000 0.622 0.122
Ge: 0.000 0.122 0.378

Calculated values
Magnetic moment (Bohr magnetons per cell): 0.00
Excess energy over the best structure of this formula in the dataset (meV/atom): 0.0
Space-group type: P4/mbm, No. 127